DFT (PBE) results for MgSb2PbI after structural relaxation.

Geometry as CIF:
```
data_MgSb2PbI
_chemical_formula_sum 'Mg1 Sb2 Pb1 I1'
_cell_length_a 5.448
_cell_length_b 5.448
_cell_length_c 5.695
_cell_angle_alpha 90.00
_cell_angle_beta 90.00
_cell_angle_gamma 90.00
_space_group_name_H-M_alt 'P 1'
_space_group_IT_number 1
_space_group_name_Hall 'P 1'
loop_
_atom_site_label
_atom_site_type_symbol
_atom_site_fract_x
_atom_site_fract_y
_atom_site_fract_z
_atom_site_occupancy
I1 I 0.000 0.000 0.500 1
Sb1 Sb 0.500 0.000 0.000 1
Sb2 Sb 0.000 0.500 0.000 1
Mg1 Mg 0.000 0.000 0.000 1
Pb1 Pb 0.500 0.500 0.500 1
```

ΔE_f (raw), eV/atom: 0.244
Magnetization, μB per atom: 0.000
Density of states at the Fermi level, states/eV/f.u.: 4.38
VASP energy, eV per atom: -2.7758